## YTiGaHg2 (PBE)

Data for a geometry-optimized YTiGaHg2 structure.

Lattice parameters (Å, degrees): 5.007 5.399 5.007 90.00 90.00 90.00
Element x y z (fractional)
Ga: 0.000 0.000 0.000
Hg: 0.500 0.000 0.000
Ti: 0.500 0.500 0.500
Y: 0.000 0.500 0.000
Hg: 0.000 0.000 0.500

Summary:
ΔH_f (0 K) in eV per atom: 0.53

## CaAc2As4Pd3 (PBE)

Data for a geometry-optimized CaAc2As4Pd3 structure.

Lattice parameters (Å, degrees): 4.545 4.545 10.950 90.00 90.00 90.00
Element x y z (fractional)
As: 0.500 0.500 0.000
Ca: 0.500 0.500 0.500
Ac: 0.000 0.500 0.773
As: 0.000 0.000 0.000
Ac: 0.500 0.000 0.227
Pd: 0.000 0.500 0.107
As: 0.500 0.000 0.657
As: 0.000 0.500 0.343
Pd: 0.000 0.000 0.500
Pd: 0.500 0.000 0.893

Summary:
ΔH_f (0 K) in eV per atom: -0.97

## LiPdAuCl6 (PBE)

Data for a geometry-optimized LiPdAuCl6 structure.

Lattice parameters (Å, degrees): 6.292 6.292 11.574 90.00 90.00 120.00
Element x y z (fractional)
Cl: 0.336 0.357 0.869
Cl: 0.357 0.336 0.369
Au: 0.000 0.000 0.000
Cl: 0.643 0.664 0.631
Cl: 0.979 0.336 0.131
Li: 0.333 0.667 0.250
Cl: 0.664 0.021 0.369
Cl: 0.643 0.979 0.869
Cl: 0.021 0.357 0.631
Cl: 0.021 0.664 0.869
Cl: 0.979 0.643 0.369
Cl: 0.357 0.021 0.131
Cl: 0.664 0.643 0.131
Li: 0.667 0.333 0.750
Au: 0.000 0.000 0.500
Cl: 0.336 0.979 0.631
Pd: 0.333 0.667 0.750
Pd: 0.667 0.333 0.250

Summary:
E_form (uncorrected) in eV/atom: -0.5991

## LiGaHgTe (PBE)

Data for a geometry-optimized LiGaHgTe structure.

Lattice parameters (Å, degrees): 5.211 5.211 5.211 60.00 60.00 60.00
Element x y z (fractional)
Hg: 0.500 0.500 0.500
Li: 0.250 0.250 0.250
Ga: 0.750 0.750 0.750
Te: 0.000 0.000 0.000

Summary:
E_form (uncorrected) in eV/atom: -0.2980

## CeGaHg2Br6 (PBE)

Data for a geometry-optimized CeGaHg2Br6 structure.

Lattice parameters (Å, degrees): 7.916 7.917 7.914 60.00 60.00 90.00
Element x y z (fractional)
Br: 0.749 0.749 0.502
Br: 0.749 0.251 0.000
Hg: 0.250 0.750 0.500
Br: 0.749 0.749 0.000
Hg: 0.750 0.250 0.500
Ga: 0.500 0.500 0.000
Br: 0.251 0.251 0.498
Br: 0.251 0.251 0.000
Ce: 0.000 0.000 0.000
Br: 0.251 0.749 0.000

Summary:
E_form (uncorrected) in eV/atom: -0.8407

## ScBePt2Cl (PBE)

Data for a geometry-optimized ScBePt2Cl structure.

Lattice parameters (Å, degrees): 4.829 3.764 4.829 90.00 90.00 90.00
Element x y z (fractional)
Pt: 0.500 0.000 0.000
Sc: 0.500 0.500 0.500
Cl: 0.000 0.000 0.000
Be: 0.000 0.500 0.000
Pt: 0.000 0.000 0.500

Summary:
E_form (uncorrected) in eV/atom: 0.3820

## MgInGa2Os (PBE)

Data for a geometry-optimized MgInGa2Os structure.

Lattice parameters (Å, degrees): 4.836 5.103 4.836 90.00 90.00 90.00
Element x y z (fractional)
Ga: 0.500 0.000 0.000
Os: 0.000 0.000 0.000
In: 0.500 0.500 0.500
Ga: 0.000 0.000 0.500
Mg: 0.000 0.500 0.000

Summary:
ΔH_f (0 K) in eV per atom: 0.11

## Sm3DyEr8 (PBE)

Data for a geometry-optimized Sm3DyEr8 structure.

Lattice parameters (Å, degrees): 8.329 8.329 8.329 95.00 117.16 117.16
Element x y z (fractional)
Sm: 0.500 0.250 0.750
Er: 0.000 0.627 0.879
Er: 0.252 0.373 0.373
Er: 0.000 0.879 0.627
Dy: 0.000 0.000 0.000
Er: 0.506 0.747 0.747
Er: 0.000 0.253 0.759
Sm: 0.500 0.750 0.250
Sm: 0.000 0.500 0.500
Er: 0.748 0.121 0.121
Er: 0.494 0.241 0.241
Er: 0.000 0.759 0.253

Summary:
ΔH_f (0 K) in eV per atom: 0.65

## Na3Er3AuO8 (PBE)

Data for a geometry-optimized Na3Er3AuO8 structure.

Lattice parameters (Å, degrees): 6.739 6.686 6.815 119.90 90.00 120.26
Element x y z (fractional)
O: 0.220 0.440 0.698
Au: 0.000 0.000 0.500
Er: 0.500 0.500 0.500
O: 0.743 0.979 0.712
O: 0.263 0.525 0.295
O: 0.257 0.021 0.288
O: 0.236 0.979 0.712
Er: 0.000 0.500 0.500
O: 0.737 0.475 0.705
O: 0.780 0.560 0.302
Na: 0.000 0.000 0.000
O: 0.764 0.021 0.288
Er: 0.500 0.000 0.500
Na: 0.000 0.500 0.000
Na: 0.500 0.500 0.000

Summary:
E_form (uncorrected) in eV/atom: -2.2315

## Ca2TlZnIr (PBE)

Data for a geometry-optimized Ca2TlZnIr structure.

Lattice parameters (Å, degrees): 5.439 5.439 4.912 90.00 90.00 90.00
Element x y z (fractional)
Ca: 0.000 0.500 0.000
Tl: 0.500 0.500 0.500
Ca: 0.500 0.000 0.000
Ir: 0.000 0.000 0.000
Zn: 0.000 0.000 0.500

Summary:
ΔH_f (0 K) in eV per atom: -0.17

## Nd2Mg3Ag (PBE)

Data for a geometry-optimized Nd2Mg3Ag structure.

Lattice parameters (Å, degrees): 6.101 6.101 9.522 90.00 90.00 120.00
Element x y z (fractional)
Nd: 0.667 0.333 0.435
Ag: 0.000 0.000 0.500
Nd: 0.333 0.667 0.935
Nd: 0.667 0.333 0.065
Mg: 0.670 0.835 0.250
Mg: 0.835 0.165 0.750
Mg: 0.165 0.330 0.250
Nd: 0.333 0.667 0.565
Mg: 0.835 0.670 0.750
Ag: 0.000 0.000 0.000
Mg: 0.330 0.165 0.750
Mg: 0.165 0.835 0.250

Summary:
ΔH_f (0 K) in eV per atom: -0.15

## Ce5Zn (PBE)

Data for a geometry-optimized Ce5Zn structure.

Lattice parameters (Å, degrees): 4.479 5.686 6.592 106.55 90.00 113.20
Element x y z (fractional)
Ce: 0.028 0.055 0.550
Ce: 0.372 0.744 0.755
Ce: 0.361 0.722 0.227
Ce: 0.017 0.034 0.023
Zn: 0.694 0.389 0.889
Ce: 0.694 0.389 0.389

Summary:
E above lowest polymorph in eV per formula unit: 0.000
ΔH_f (0 K) in eV per atom: -0.03